## HfBe2AgHg (meta-GGA SCAN)

Data for a crystal of HfBe2AgHg relaxed with PBEsol.

POSCAR file:
```
HfBe2AgHg
1.0
4.764 0.000 0.000
0.000 4.764 0.000
0.000 0.000 5.087
Be Hf Hg Ag
2 1 1 1
Cartesian
0.000 2.382 0.000
2.382 0.000 0.000
0.000 0.000 0.000
2.382 2.382 2.543
0.000 0.000 2.543
```

Output
Formation energy from the elements in eV per formula unit: 7.962
DFT total energy in eV/cell: -162.95
Space group: P4/mmm

---

## HfZr2H2 (meta-GGA SCAN)

Data for a crystal of HfZr2H2 relaxed with PBEsol.

POSCAR file:
```
HfZr2H2
1.0
3.182 0.000 0.000
0.000 3.182 0.000
-1.591 -1.591 7.084
H Hf Zr
2 1 2
Cartesian
0.000 1.591 3.542
1.591 0.000 3.542
0.000 0.000 0.000
0.000 0.000 4.906
1.591 1.591 2.179
```

Output
DFT total energy in eV/cell: -132.51
Space group: I4/mmm

---

## Al2CdCo2 (meta-GGA SCAN)

Data for a crystal of Al2CdCo2 relaxed with PBEsol.

POSCAR file:
```
Al2CdCo2
1.0
-0.860 -1.815 3.103
0.359 -3.218 -1.783
5.377 2.354 0.665
Co Al Cd
2 2 1
Cartesian
4.044 -0.128 1.045
0.832 -2.551 0.940
2.743 -1.690 -0.229
2.133 -0.989 2.214
0.000 0.000 0.000
```

Output
Formation energy from the elements in eV per formula unit: 0.486
DFT total energy in eV/cell: -80.04
Space group: I4/mmm

---

## Mg2AgMo (meta-GGA SCAN)

Data for a crystal of Mg2AgMo relaxed with PBEsol.

POSCAR file:
```
Mg2AgMo
1.0
-0.884 -4.215 1.642
3.344 -3.169 0.135
1.767 -1.314 4.049
Ag Mg Mo
1 2 1
Cartesian
2.114 -4.348 2.913
1.057 -2.174 1.456
3.170 -6.523 4.369
0.000 0.000 0.000
```

Output
Formation energy from the elements in eV per formula unit: 1.349
DFT total energy in eV/cell: -74.85
Space group: Fm-3m

---

## Ca2LaPt (meta-GGA SCAN)

Data for a crystal of Ca2LaPt relaxed with PBEsol.

POSCAR file:
```
Ca2LaPt
1.0
3.867 0.000 0.000
0.000 4.275 0.000
0.000 -2.138 7.970
Ca Pt La
2 1 1
Cartesian
0.000 0.000 3.269
1.933 2.138 0.672
1.933 0.000 5.671
0.000 2.138 6.164
```

Output
Formation energy from the elements in eV per formula unit: -2.735
DFT total energy in eV/cell: -135.36
Space group: Amm2

---

## TaCuMoAs2 (meta-GGA SCAN)

Data for a crystal of TaCuMoAs2 relaxed with PBEsol.

POSCAR file:
```
TaCuMoAs2
1.0
4.699 0.000 0.000
0.000 4.850 0.000
0.000 0.000 4.850
Mo As Cu Ta
1 2 1 1
Cartesian
2.349 2.425 2.425
0.000 0.000 2.425
0.000 2.425 0.000
2.349 0.000 0.000
0.000 0.000 0.000
```

Output
Formation energy from the elements in eV per formula unit: 5.400
DFT total energy in eV/cell: -151.65
Space group: P4/mmm

---

D(E_F) list, top to bottom, in states/eV/cell: 4.2, 3.4, 4.1, 1.4, 2.6, 2.4